K2BaH2: relaxed, GGA-PBEsol.

Raw total energy = -2.118 eV per atom

Cell: 4.9309 4.9309 7.4823 Å, 109.24 109.24 90.00°
Closest atoms and distances in Å follow each position.
Fractional positions:
H 0.7500 0.2500 0.5000  4 K 2.62
K 0.6823 0.6823 0.3646  4 H 2.62
Ba 0.0000 0.0000 0.0000  8 H 4.13, 10 K 4.21-4.24
K 0.3177 0.3177 0.6354  4 H 2.62
H 0.2500 0.7500 0.5000  4 K 2.62